The following is a PBE calculation of a geometry-optimized DyYCd2Au4 structure, from OQMD.

The structure in extended XYZ format:
```
8
Lattice="-0.991 3.828 2.950 -3.391 1.594 -3.208 -4.869 -3.779 3.268" Properties=species:S:1:pos:R:3 pbc="T T T"
Cd -2.434 -1.889 1.634
Cd -2.191 2.711 -0.129
Au -2.912 -0.147 -0.788
Au -5.348 -2.038 0.848
Au -4.148 -0.921 3.926
Au -1.712 0.970 2.291
Dy 0.000 0.000 0.000
Y -4.625 0.822 1.505
```

Properties
Formation energy (eV per atom): -0.680
Magnetic moment (μB per formula unit): 0.01
Volume (Å³ per cell): 169.7